{"formula": "MgZnPd3", "functional": "PBE-GGA", "state": "optimized geometry", "lattice": [[4.601, 0.000, 0.000], [0.000, 4.601, 0.000], [0.000, 0.000, 4.601]], "species": ["Zn", "Mg", "Pd", "Pd", "Pd"], "fractional_positions": [[0.500, 0.500, 0.500], [0.000, 0.000, 0.000], [0.000, 0.500, 0.000], [0.000, 0.000, 0.500], [0.500, 0.000, 0.000]], "mass_density_g_cm3": 6.971, "formation_enthalpy_0k_ev_per_atom": 0.3951, "space_group": "Pm-3m (221)", "polymorph_energy_mev_per_atom": 873, "total_magnetization_mub_per_fu": 0.00}


{"formula": "Ta3Cl", "functional": "PBE-GGA", "state": "optimized geometry", "lattice": [[-1.407, 4.057, -3.749], [-1.413, 2.347, 4.998], [4.263, 1.808, 0.356]], "species": ["Ta", "Ta", "Ta", "Ta", "Ta", "Ta", "Cl", "Cl"], "fractional_positions": [[0.136, 0.864, 0.750], [0.864, 0.136, 0.250], [0.655, 0.858, 0.750], [0.345, 0.142, 0.250], [0.858, 0.655, 0.250], [0.142, 0.345, 0.750], [0.600, 0.400, 0.750], [0.400, 0.600, 0.250]], "mass_density_g_cm3": 13.056, "e_form_raw_ev_per_fu": 1.99, "space_group": "Cmcm (63)", "polymorph_energy_mev_per_atom": 410, "total_magnetization_mub_per_fu": 0.00}


{"formula": "SmSeN", "functional": "PBE-GGA", "state": "optimized geometry", "lattice": [[-3.685, 0.646, 1.740], [-3.442, -0.453, -2.230], [-2.781, -8.755, 2.254]], "species": ["N", "N", "Se", "Se", "Sm", "Sm"], "fractional_positions": [[0.297, 0.297, 0.110], [0.703, 0.703, 0.890], [0.152, 0.152, 0.545], [0.848, 0.848, 0.455], [0.380, 0.380, 0.859], [0.620, 0.620, 0.141]], "mass_density_g_cm3": 5.988, "e_form_raw_ev_per_fu": -2.17, "space_group": "R-3m (166)", "polymorph_energy_mev_per_atom": 471, "total_magnetization_mub_per_fu": 0.00}


{"formula": "Tb6SnSb2Te3", "functional": "PBE-GGA", "state": "optimized geometry", "lattice": [[4.404, 0.000, 0.000], [0.000, 8.793, 0.312], [-2.202, -2.538, 9.255]], "species": ["Tb", "Tb", "Tb", "Tb", "Tb", "Tb", "Sn", "Sb", "Sb", "Te", "Te", "Te"], "fractional_positions": [[0.338, 0.913, 0.675], [0.669, 0.577, 0.338], [0.662, 0.087, 0.325], [0.002, 0.241, 0.003], [0.998, 0.759, 0.997], [0.331, 0.423, 0.662], [0.500, 0.000, 0.000], [0.833, 0.667, 0.666], [0.167, 0.333, 0.334], [0.500, 0.500, 0.000], [0.832, 0.167, 0.664], [0.168, 0.833, 0.336]], "mass_density_g_cm3": 7.796, "e_form_raw_ev_per_fu": -14.57, "space_group": "C2/m (12)", "total_magnetization_mub_per_fu": 0.00}